CdSn2Ge2 | PBE-GGA | optimized geometry

CIF file:
```
data_CdSn2Ge2
_cell_length_a 8.6232
_cell_length_b 8.6232
_cell_length_c 3.3070
_cell_angle_alpha 90.00
_cell_angle_beta 90.00
_cell_angle_gamma 90.00
_space_group_name_H-M_alt 'P 4/m b m'
_space_group_IT_number 127
_space_group_name_Hall '-P 4 2ab'
loop_
_atom_site_label
_atom_site_type_symbol
_atom_site_fract_x
_atom_site_fract_y
_atom_site_fract_z
Cd1 Cd 0.0000 0.0000 0.0000
Sn1 Sn 0.1478 0.3522 0.0000
Ge1 Ge 0.1488 0.6488 0.5000
```

- V: 123 Å³/f.u.
- Relative energy among the computed polymorphs: 43 meV/atom

=====

TlCo3Os | PBE-GGA | optimized geometry

CIF file:
```
data_TlCo3Os
_cell_length_a 4.6241
_cell_length_b 4.6241
_cell_length_c 4.6241
_cell_angle_alpha 90.00
_cell_angle_beta 90.00
_cell_angle_gamma 90.00
_space_group_name_H-M_alt 'P m -3 m'
_space_group_IT_number 221
_space_group_name_Hall '-P 4 2 3'
loop_
_atom_site_label
_atom_site_type_symbol
_atom_site_fract_x
_atom_site_fract_y
_atom_site_fract_z
Tl1 Tl 0.0000 0.0000 0.0000
Co1 Co 0.0000 0.0000 0.5000
Os1 Os 0.5000 0.5000 0.5000
```

- V: 99 Å³/f.u.
- Relative energy among the computed polymorphs: 1054 meV/atom

=====

LaReHgP2 | PBE-GGA | optimized geometry

CIF file:
```
data_LaReHgP2
_cell_length_a 5.4345
_cell_length_b 5.4345
_cell_length_c 6.0778
_cell_angle_alpha 90.00
_cell_angle_beta 90.00
_cell_angle_gamma 90.00
_space_group_name_H-M_alt 'P 4/m m m'
_space_group_IT_number 123
_space_group_name_Hall '-P 4 2'
loop_
_atom_site_label
_atom_site_type_symbol
_atom_site_fract_x
_atom_site_fract_y
_atom_site_fract_z
La1 La 0.0000 0.0000 0.0000
Re1 Re 0.0000 0.0000 0.5000
Hg1 Hg 0.5000 0.5000 0.5000
P1 P 0.0000 0.5000 0.0000
```

- V: 180 Å³/f.u.
- Relative energy among the computed polymorphs: 1741 meV/atom

=====

Pr3Dy2Ho6Tm | PBE-GGA | optimized geometry

CIF file:
```
data_Pr3Dy2Ho6Tm
_cell_length_a 6.1940
_cell_length_b 10.7254
_cell_length_c 11.8009
_cell_angle_alpha 90.00
_cell_angle_beta 100.06
_cell_angle_gamma 90.00
_space_group_name_H-M_alt 'C 1 2/m 1'
_space_group_IT_number 12
_space_group_name_Hall '-C 2y'
loop_
_atom_site_label
_atom_site_type_symbol
_atom_site_fract_x
_atom_site_fract_y
_atom_site_fract_z
Pr1 Pr 0.0000 0.0000 0.0000
Pr2 Pr 0.0000 0.3333 0.0000
Dy1 Dy 0.0000 0.1665 0.5000
Ho1 Ho 0.2482 0.3335 0.7450
Ho2 Ho 0.2488 0.0000 0.7451
Tm1 Tm 0.0000 0.5000 0.5000
```

- V: 386 Å³/f.u.
- DFT total energy: -110.44 eV per cell

=====

Cs2YSnSe4 | PBE-GGA | optimized geometry

CIF file:
```
data_Cs2YSnSe4
_cell_length_a 6.9805
_cell_length_b 15.4080
_cell_length_c 26.1790
_cell_angle_alpha 90.00
_cell_angle_beta 90.00
_cell_angle_gamma 90.00
_space_group_name_H-M_alt 'F d d d'
_space_group_IT_number 70
loop_
_space_group_symop_operation_xyz
'x,y,z'
'-x,-y,-z'
'-x+1/4,-y+1/4,z'
'x+1/4,y+1/4,-z'
'x,-y+1/4,-z+1/4'
'-x,y+1/4,z+1/4'
'-x+1/4,y,-z+1/4'
'x+1/4,-y,z+1/4'
'x,y+1/2,z+1/2'
'-x,-y+1/2,-z+1/2'
'-x+1/4,-y+3/4,z+1/2'
'x+1/4,y+3/4,-z+1/2'
'x,-y+3/4,-z+3/4'
'-x,y+3/4,z+3/4'
'-x+1/4,y+1/2,-z+3/4'
'x+1/4,-y+1/2,z+3/4'
'x+1/2,y,z+1/2'
'-x+1/2,-y,-z+1/2'
'-x+3/4,-y+1/4,z+1/2'
'x+3/4,y+1/4,-z+1/2'
'x+1/2,-y+1/4,-z+3/4'
'-x+1/2,y+1/4,z+3/4'
'-x+3/4,y,-z+3/4'
'x+3/4,-y,z+3/4'
'x+1/2,y+1/2,z'
'-x+1/2,-y+1/2,-z'
'-x+3/4,-y+3/4,z'
'x+3/4,y+3/4,-z'
'x+1/2,-y+3/4,-z+1/4'
'-x+1/2,y+3/4,z+1/4'
'-x+3/4,y+1/2,-z+1/4'
'x+3/4,-y+1/2,z+1/4'
loop_
_atom_site_label
_atom_site_type_symbol
_atom_site_fract_x
_atom_site_fract_y
_atom_site_fract_z
Cs1 Cs 0.1250 0.1250 0.3060
Y1 Y 0.1250 0.1250 0.1250
Sn1 Sn 0.1250 0.1250 0.6250
Se1 Se 0.1241 0.2741 0.4285
```

- V: 352 Å³/f.u.
- ΔE_f (raw): -1.101 eV per atom

=====

PaBIr3 | PBE-GGA | optimized geometry

CIF file:
```
data_PaBIr3
_cell_length_a 4.2778
_cell_length_b 4.2778
_cell_length_c 4.2778
_cell_angle_alpha 90.00
_cell_angle_beta 90.00
_cell_angle_gamma 90.00
_space_group_name_H-M_alt 'P m -3 m'
_space_group_IT_number 221
_space_group_name_Hall '-P 4 2 3'
loop_
_atom_site_label
_atom_site_type_symbol
_atom_site_fract_x
_atom_site_fract_y
_atom_site_fract_z
Pa1 Pa 0.0000 0.0000 0.0000
B1 B 0.5000 0.5000 0.5000
Ir1 Ir 0.0000 0.5000 0.5000
```

- V: 78 Å³/f.u.
- Relative energy among the computed polymorphs: 45 meV/atom